Here is crystalline FeGe2MoAu at its relaxed geometry from the Alexandria database. Energies are from PBE-GGA.

```
FeGe2MoAu
1.0
4.785 0.000 0.000
0.000 5.222 0.000
0.000 0.000 4.785
Au Mo Ge Fe
1 1 2 1
Direct
0.000 0.000 0.000
0.000 0.500 0.000
0.000 0.000 0.500
0.500 0.000 0.000
0.500 0.500 0.500
```

Computed properties:
Calculated volume = 119.54 Å³/f.u.
Total magnetization = 6.7 μB per formula unit
Energy = -4.729 eV per atom